[1]
Density functional theory data (PBE) for crystalline Ce2Zn7Cd at its relaxed geometry.

Unit cell a=4.290 b=4.290 c=10.715 alpha=90.00 beta=90.00 gamma=90.00
Space group P-4m2 (No. 115)
Inequivalent atoms, fractional coordinates:
Ce 0.000 0.500 0.236 (multiplicity 2)
Zn 0.000 0.000 0.000 (multiplicity 1)
Zn 0.000 0.500 0.647 (multiplicity 2)
Zn 0.000 0.500 0.874 (multiplicity 2)
Zn 0.500 0.500 0.000 (multiplicity 1)
Zn 0.500 0.500 0.500 (multiplicity 1)
Cd 0.000 0.000 0.500 (multiplicity 1)

Its formation energy is -2.2 eV/f.u. The calculation puts the total energy at -2.39 eV per atom. The calculation puts the density of states at the Fermi level at 1.69 states/eV per atom.


[2]
Density functional theory data (PBE) for crystalline KMnCl3 at its relaxed geometry.

Unit cell a=5.331 b=7.470 c=8.606 alpha=70.60 beta=89.95 gamma=89.98
Space group P1 (No. 1)
Inequivalent atoms, fractional coordinates:
K 0.000 0.000 0.000 (multiplicity 1)
K 0.499 0.008 0.499 (multiplicity 1)
Mn 0.497 0.505 0.088 (multiplicity 1)
Mn 0.997 0.503 0.410 (multiplicity 1)
Cl 0.499 0.496 0.375 (multiplicity 1)
Cl 0.500 0.194 0.086 (multiplicity 1)
Cl 0.500 0.802 0.886 (multiplicity 1)
Cl 0.999 0.206 0.612 (multiplicity 1)
Cl 0.999 0.513 0.123 (multiplicity 1)
Cl 0.999 0.814 0.413 (multiplicity 1)

The calculation puts the total energy at -4.61 eV per atom. The value obtained for the uncorrected formation energy is -33.39 kcal/mol of atoms. The calculation puts the density of states at the Fermi level at 0.00 states/eV per atom.


[3]
Density functional theory data (PBE) for crystalline BaUCd2O6 at its relaxed geometry.

Unit cell a=6.1312 b=6.1312 c=15.5417 alpha=90.00 beta=90.00 gamma=120.00
Space group R-3 (No. 148, hexagonal axes)
Inequivalent atoms, fractional coordinates:
Ba 0.0000 0.0000 0.0000 (multiplicity 3)
U 0.0000 0.0000 0.5000 (multiplicity 3)
Cd 0.0000 0.0000 0.2882 (multiplicity 6)
O 0.0274 0.2860 0.4179 (multiplicity 18)

The calculation puts the total energy at -6.72 eV per atom. The value obtained for the uncorrected formation energy is -51.71 kcal/mol of atoms. The calculation puts the density of states at the Fermi level at 0.00 states/eV per atom.


[4]
Density functional theory data (PBE) for crystalline Tb4Tm8Sc at its relaxed geometry.

Unit cell a=12.781 b=7.373 c=9.492 alpha=90.00 beta=116.71 gamma=90.00
Space group C2/m (No. 12)
Inequivalent atoms, fractional coordinates:
Tb 0.000 0.000 0.000 (multiplicity 2)
Tb 0.000 0.500 0.000 (multiplicity 2)
Tb 0.250 0.250 0.000 (multiplicity 4)
Tm 0.036 0.219 0.326 (multiplicity 8)
Tm 0.221 0.000 0.663 (multiplicity 4)
Tm 0.245 0.500 0.673 (multiplicity 4)
Sc 0.000 0.500 0.500 (multiplicity 2)

Its formation energy is 2.6 eV/f.u. The calculation puts the total energy at -4.47 eV per atom. The calculation puts the density of states at the Fermi level at 1.47 states/eV per atom.


[5]
Density functional theory data (PBE) for crystalline Si2HgBr at its relaxed geometry.

Unit cell a=10.862 b=3.740 c=7.165 alpha=90.00 beta=126.02 gamma=90.00
Space group C2/m (No. 12)
Inequivalent atoms, fractional coordinates:
Si 0.167 0.000 0.442 (multiplicity 4)
Hg 0.000 0.500 0.500 (multiplicity 2)
Br 0.000 0.000 0.000 (multiplicity 2)

The energy above the most stable polymorph in this dataset is 97 meV per atom. The calculation puts the total energy at -2.96 eV per atom. The value obtained for the uncorrected formation energy is 5.63 kcal/mol of atoms. The calculation puts the density of states at the Fermi level at 0.40 states/eV per atom.


[6]
Density functional theory data (PBE) for crystalline EuTaAs2 at its relaxed geometry.

Unit cell a=3.8721 b=3.8721 c=20.3852 alpha=90.00 beta=90.00 gamma=120.00
Space group R-3m (No. 166, hexagonal axes)
Inequivalent atoms, fractional coordinates:
Eu 0.0000 0.0000 0.0000 (multiplicity 3)
Ta 0.0000 0.0000 0.5000 (multiplicity 3)
As 0.0000 0.0000 0.2384 (multiplicity 6)

The energy above the most stable polymorph in this dataset is 0 meV per atom. Its formation energy is -3.1 eV/f.u. The calculation puts the total energy at -8.63 eV per atom. The calculation puts the density of states at the Fermi level at 0.53 states/eV per atom.